Computed, not measured: a relaxed MnRePd3 crystal at the GGA-PBE level of DFT.

Calculated values
Uncorrected energy: -5.86 eV/atom
DOS at the Fermi energy: 1.731 states/eV per atom
Spin magnetization: 3.48 μB per formula unit
Formation enthalpy at 0 K: 7.900 eV/f.u.

a = 4.4946 Å, b = 4.4946 Å, c = 4.4946 Å
α = 90.00°, β = 90.00°, γ = 90.00°
Space group Pm-3m (No. 221)
Unique sites:
1 Mn 0.0000 0.0000 0.0000
2 Re 0.5000 0.5000 0.5000
3 Pd 0.0000 0.0000 0.5000

Computed, not measured: a relaxed MnRe2Pd2 crystal at the GGA-PBE level of DFT.

Calculated values
Uncorrected energy: -8.02 eV/atom
DOS at the Fermi energy: 1.340 states/eV per atom
Spin magnetization: 0.11 μB per formula unit
Formation enthalpy at 0 K: 4.331 eV/f.u.

a = 3.5272 Å, b = 3.5272 Å, c = 13.1980 Å
α = 90.00°, β = 90.00°, γ = 90.00°
Space group I4/mmm (No. 139)
Unique sites:
1 Mn 0.0000 0.0000 0.0000
2 Re 0.0000 0.5000 0.2500
3 Pd 0.0000 0.0000 0.4052

Computed, not measured: a relaxed Mn2RePdS crystal at the GGA-PBE level of DFT.

Calculated values
Uncorrected energy: -6.57 eV/atom
DOS at the Fermi energy: 1.109 states/eV per atom
Uncorrected formation energy: 33.38 kcal/mol of atoms
Spin magnetization: 5.47 μB per formula unit

a = 4.8258 Å, b = 4.8258 Å, c = 4.3617 Å
α = 90.00°, β = 90.00°, γ = 90.00°
Space group P4/mmm (No. 123)
Unique sites:
1 Mn 0.0000 0.5000 0.0000
2 Re 0.0000 0.0000 0.5000
3 Pd 0.5000 0.5000 0.0000
4 S 0.5000 0.5000 0.5000